(1)
Crystalline U3Tl4ZnSe8 at its relaxed geometry, computed with PBE.

Properties
V: 29.0 A^3/atom
Magnetic moment: 7.96 Bohr magnetons per cell
Formation energy without anion corrections: -781 meV per atom

a = 8.293 Å, b = 9.149 Å, c = 8.294 Å
α = 116.96°, β = 120.00°, γ = 90.00°
Element x y z (fractional)
Se 0.772 0.302 0.544
Se 0.772 0.303 0.031
Se 0.228 0.697 0.969
Se 0.258 0.303 0.031
Se 0.742 0.697 0.969
Se 0.228 0.698 0.456
Se 0.264 0.292 0.528
Se 0.736 0.708 0.472
Tl 0.500 0.000 0.500
Tl 0.000 0.000 0.000
Tl 0.000 0.000 0.500
Tl 0.500 0.000 0.000
U 0.500 0.500 0.500
U 0.500 0.500 0.000
U 0.000 0.500 0.500
Zn 0.000 0.500 0.000

=====

(2)
Crystalline ZrU2Tl3Se6 at its relaxed geometry, computed with PBE.

Properties
V: 28.3 A^3/atom
Magnetic moment: 7.07 Bohr magnetons per cell
Formation energy without anion corrections: -910 meV per atom

a = 7.003 Å, b = 7.003 Å, c = 8.337 Å
α = 98.06°, β = 98.06°, γ = 119.97°
Element x y z (fractional)
Zr 0.000 0.000 0.000
Tl 0.500 0.500 0.500
Tl 0.172 0.828 0.500
Tl 0.828 0.172 0.500
U 0.334 0.666 0.000
U 0.666 0.334 0.000
Se 0.389 0.068 0.204
Se 0.068 0.389 0.204
Se 0.251 0.251 0.792
Se 0.749 0.749 0.208
Se 0.932 0.611 0.796
Se 0.611 0.932 0.796

=====

(3)
Crystalline Zr2UTl3Se6 at its relaxed geometry, computed with PBE.

Properties
V: 27.4 A^3/atom
Magnetic moment: 3.58 Bohr magnetons per cell
Formation energy without anion corrections: -941 meV per atom

a = 6.745 Å, b = 6.745 Å, c = 8.676 Å
α = 97.62°, β = 97.62°, γ = 120.11°
Element x y z (fractional)
Se 0.067 0.412 0.197
Se 0.279 0.279 0.805
Se 0.933 0.588 0.803
Se 0.412 0.067 0.197
Se 0.588 0.933 0.803
Se 0.721 0.721 0.195
U 0.000 0.000 0.000
Tl 0.500 0.500 0.500
Tl 0.162 0.838 0.500
Tl 0.838 0.162 0.500
Zr 0.668 0.332 0.000
Zr 0.332 0.668 0.000

=====

(4)
Crystalline ZrU2Tl2Se6 at its relaxed geometry, computed with PBE.

Properties
V: 30.4 A^3/atom
Magnetic moment: 6.01 Bohr magnetons per cell
Formation energy without anion corrections: -1022 meV per atom

a = 6.947 Å, b = 6.947 Å, c = 8.330 Å
α = 98.21°, β = 98.21°, γ = 119.80°
Element x y z (fractional)
Tl 0.170 0.830 0.000
Tl 0.830 0.170 0.000
Se 0.252 0.252 0.296
Se 0.748 0.748 0.704
Se 0.929 0.609 0.296
Se 0.391 0.071 0.704
Se 0.071 0.391 0.704
Se 0.609 0.929 0.296
Zr 0.000 0.000 0.500
U 0.667 0.333 0.500
U 0.333 0.667 0.500

=====

(5)
Crystalline ZrUTl2Se4 at its relaxed geometry, computed with PBE.

Properties
V: 27.7 A^3/atom
Magnetic moment: 3.45 Bohr magnetons per cell
Formation energy without anion corrections: -923 meV per atom

a = 3.950 Å, b = 6.881 Å, c = 8.439 Å
α = 105.00°, β = 90.00°, γ = 90.00°
Element x y z (fractional)
U 0.000 0.000 0.000
Se 0.000 0.280 0.802
Se 0.500 0.246 0.206
Se 0.000 0.720 0.198
Se 0.500 0.754 0.794
Tl 0.000 0.500 0.500
Tl 0.500 0.000 0.500
Zr 0.500 0.500 0.000

=====

(6)
Crystalline Zr2UTl2Se6 at its relaxed geometry, computed with PBE.

Properties
V: 29.1 A^3/atom
Magnetic moment: 3.76 Bohr magnetons per cell
Formation energy without anion corrections: -1066 meV per atom

a = 6.794 Å, b = 6.794 Å, c = 8.324 Å
α = 97.58°, β = 97.58°, γ = 120.14°
Element x y z (fractional)
Zr 0.333 0.667 0.500
Zr 0.667 0.333 0.500
Se 0.281 0.281 0.298
Se 0.066 0.410 0.702
Se 0.410 0.066 0.702
Se 0.719 0.719 0.702
Se 0.590 0.934 0.298
Se 0.934 0.590 0.298
Tl 0.838 0.162 0.000
Tl 0.162 0.838 0.000
U 0.000 0.000 0.500

=====

(7)
Crystalline ZrU3Tl3Se8 at its relaxed geometry, computed with PBE.

Properties
V: 30.3 A^3/atom
Magnetic moment: 9.01 Bohr magnetons per cell
Formation energy without anion corrections: -985 meV per atom

a = 8.102 Å, b = 8.100 Å, c = 9.274 Å
α = 115.90°, β = 90.00°, γ = 120.01°
Element x y z (fractional)
Tl 0.500 0.500 0.000
Tl 0.000 0.000 0.000
Tl 0.000 0.500 0.000
U 0.000 0.500 0.500
U 0.500 0.000 0.500
U 0.500 0.500 0.500
Se 0.228 0.456 0.702
Se 0.772 0.026 0.298
Se 0.746 0.974 0.702
Se 0.772 0.544 0.298
Se 0.254 0.026 0.298
Se 0.263 0.526 0.290
Se 0.228 0.974 0.702
Se 0.737 0.474 0.710
Zr 0.000 0.000 0.500

=====

(8)
Crystalline TlVSe3 at its relaxed geometry, computed with PBE.

Properties
V: 24.2 A^3/atom
Magnetic moment: 0.42 Bohr magnetons per cell
Formation energy without anion corrections: -281 meV per atom

a = 4.943 Å, b = 4.943 Å, c = 4.943 Å
α = 90.00°, β = 90.00°, γ = 90.00°
Element x y z (fractional)
Se 0.500 0.000 0.000
Se 0.000 0.500 0.000
Se 0.000 0.000 0.500
V 0.000 0.000 0.000
Tl 0.500 0.500 0.500

=====

(9)
Crystalline Tl2V2Se at its relaxed geometry, computed with PBE.

Properties
Energy above the most stable polymorph in this dataset: 0.0 meV per atom
V: 19.8 A^3/atom
Magnetic moment: 1.08 Bohr magnetons per cell
Formation energy without anion corrections: 201 meV per atom

a = 6.446 Å, b = 6.446 Å, c = 4.761 Å
α = 90.00°, β = 90.00°, γ = 90.00°
Element x y z (fractional)
Tl 0.671 0.829 0.500
Tl 0.171 0.671 0.500
Tl 0.829 0.329 0.500
Tl 0.329 0.171 0.500
V 0.370 0.870 0.000
V 0.870 0.630 0.000
V 0.630 0.130 0.000
V 0.130 0.370 0.000
Se 0.500 0.500 0.000
Se 0.000 0.000 0.000

=====

(10)
Crystalline TlVSe2 at its relaxed geometry, computed with PBE.

Properties
V: 29.6 A^3/atom
Magnetic moment: 4.00 Bohr magnetons per cell
Formation energy without anion corrections: -453 meV per atom

a = 7.240 Å, b = 7.240 Å, c = 6.828 Å
α = 57.98°, β = 57.98°, γ = 90.00°
Element x y z (fractional)
Tl 0.000 0.000 0.000
Tl 0.750 0.250 0.500
Se 0.532 0.125 0.250
Se 0.875 0.782 0.750
Se 0.218 0.625 0.250
Se 0.375 0.468 0.750
V 0.250 0.750 0.500
V 0.500 0.500 0.000

=====

(11)
Crystalline TlV3Se at its relaxed geometry, computed with PBE.

Properties
Energy above the most stable polymorph in this dataset: 0.0 meV per atom
V: 19.2 A^3/atom
Magnetic moment: 4.20 Bohr magnetons per cell
Formation energy without anion corrections: 561 meV per atom

a = 4.579 Å, b = 4.579 Å, c = 4.579 Å
α = 90.00°, β = 90.00°, γ = 90.00°
Element x y z (fractional)
Tl 0.500 0.500 0.500
V 0.000 0.000 0.500
V 0.500 0.000 0.000
V 0.000 0.500 0.000
Se 0.000 0.000 0.000

=====

(12)
Crystalline TlV4Se8 at its relaxed geometry, computed with PBE.

Properties
V: 25.9 A^3/atom
Magnetic moment: 1.99 Bohr magnetons per cell
Formation energy without anion corrections: -671 meV per atom

a = 6.792 Å, b = 6.792 Å, c = 9.293 Å
α = 68.57°, β = 68.57°, γ = 60.00°
Element x y z (fractional)
Se 0.772 0.772 0.186
Se 0.228 0.228 0.814
Se 0.772 0.270 0.186
Se 0.730 0.228 0.814
Se 0.270 0.772 0.186
Se 0.228 0.730 0.814
Se 0.728 0.728 0.815
Se 0.272 0.272 0.185
V 0.500 0.000 0.000
V 0.000 0.000 0.000
V 0.500 0.500 0.000
V 0.000 0.500 0.000
Tl 0.500 0.500 0.500

=====

(13)
Crystalline TlVSe2 at its relaxed geometry, computed with PBE.

Properties
V: 21.5 A^3/atom
Magnetic moment: 2.03 Bohr magnetons per cell
Formation energy without anion corrections: 40 meV per atom

a = 4.958 Å, b = 4.958 Å, c = 4.958 Å
α = 60.00°, β = 60.00°, γ = 60.00°
Element x y z (fractional)
Tl 0.500 0.500 0.500
Se 0.750 0.750 0.750
Se 0.250 0.250 0.250
V 0.000 0.000 0.000

=====

(14)
Crystalline Tl2V2Se at its relaxed geometry, computed with PBE.

Properties
Energy above the most stable polymorph in this dataset: 432.8 meV per atom
V: 22.5 A^3/atom
Magnetic moment: 1.14 Bohr magnetons per cell
Formation energy without anion corrections: 634 meV per atom

a = 4.149 Å, b = 4.149 Å, c = 7.161 Å
α = 73.16°, β = 73.16°, γ = 90.00°
Element x y z (fractional)
Tl 0.750 0.250 0.500
Tl 0.250 0.750 0.500
V 0.571 0.571 0.857
V 0.429 0.429 0.143
Se 0.000 0.000 0.000

=====

(15)
Crystalline Tl2VSe4 at its relaxed geometry, computed with PBE.

Properties
V: 27.3 A^3/atom
Magnetic moment: 0.00 Bohr magnetons per cell
Formation energy without anion corrections: -264 meV per atom

a = 4.727 Å, b = 4.727 Å, c = 9.176 Å
α = 75.08°, β = 75.08°, γ = 90.00°
Element x y z (fractional)
Se 0.500 0.000 0.000
Se 0.849 0.849 0.301
Se 0.151 0.151 0.699
Se 0.000 0.500 0.000
Tl 0.335 0.335 0.331
Tl 0.665 0.665 0.669
V 0.000 0.000 0.000

=====

(16)
Crystalline TlVSe2 at its relaxed geometry, computed with PBE.

Properties
V: 22.7 A^3/atom
Magnetic moment: 0.00 Bohr magnetons per cell
Formation energy without anion corrections: -541 meV per atom

a = 3.390 Å, b = 3.390 Å, c = 9.313 Å
α = 79.51°, β = 79.51°, γ = 60.00°
Element x y z (fractional)
V 0.666 0.666 0.001
Se 0.276 0.276 0.172
Se 0.057 0.057 0.829
Tl 0.501 0.501 0.498

=====

(17)
Crystalline TlVSe4 at its relaxed geometry, computed with PBE.

Properties
Energy above the most stable polymorph in this dataset: 55.2 meV per atom
V: 26.1 A^3/atom
Magnetic moment: 0.00 Bohr magnetons per cell
Formation energy without anion corrections: -322 meV per atom

a = 5.526 Å, b = 7.631 Å, c = 8.354 Å
α = 117.18°, β = 91.73°, γ = 90.00°
Element x y z (fractional)
V 0.273 0.517 0.034
V 0.727 0.483 0.966
Se 0.270 0.688 0.376
Se 0.730 0.312 0.624
Se 0.000 0.240 0.000
Se 0.599 0.807 0.209
Se 0.599 0.402 0.209
Se 0.401 0.598 0.791
Se 0.000 0.760 0.000
Se 0.401 0.193 0.791
Tl 0.207 0.189 0.378
Tl 0.793 0.811 0.622

=====

(18)
Crystalline TlV2Se at its relaxed geometry, computed with PBE.

Properties
Energy above the most stable polymorph in this dataset: 0.0 meV per atom
V: 20.2 A^3/atom
Magnetic moment: 8.99 Bohr magnetons per cell
Formation energy without anion corrections: 410 meV per atom

a = 7.201 Å, b = 7.201 Å, c = 5.974 Å
α = 52.94°, β = 52.94°, γ = 90.00°
Element x y z (fractional)
Tl 0.750 0.250 0.500
Tl 0.000 0.000 0.000
V 0.176 0.625 0.250
V 0.574 0.125 0.250
V 0.875 0.824 0.750
V 0.375 0.426 0.750
Se 0.250 0.750 0.500
Se 0.500 0.500 0.000

=====

(19)
Crystalline Tl5VSe4 at its relaxed geometry, computed with PBE.

Properties
V: 33.7 A^3/atom
Magnetic moment: 3.70 Bohr magnetons per cell
Formation energy without anion corrections: -385 meV per atom

a = 7.629 Å, b = 10.365 Å, c = 8.516 Å
α = 90.00°, β = 90.00°, γ = 90.00°
Element x y z (fractional)
V 0.848 0.500 0.500
V 0.152 0.000 0.000
Tl 0.723 0.806 0.290
Tl 0.277 0.694 0.790
Tl 0.071 0.000 0.500
Tl 0.277 0.306 0.790
Tl 0.723 0.194 0.290
Tl 0.723 0.806 0.710
Tl 0.723 0.194 0.710
Tl 0.277 0.306 0.210
Tl 0.277 0.694 0.210
Tl 0.929 0.500 0.000
Se 0.665 0.500 0.270
Se 0.665 0.500 0.730
Se 0.963 0.814 0.000
Se 0.335 0.000 0.230
Se 0.963 0.186 0.000
Se 0.037 0.314 0.500
Se 0.335 0.000 0.770
Se 0.037 0.686 0.500

=====

(20)
Crystalline TlVSe3 at its relaxed geometry, computed with PBE.

Properties
V: 25.8 A^3/atom
Magnetic moment: 1.14 Bohr magnetons per cell
Formation energy without anion corrections: -374 meV per atom

a = 4.836 Å, b = 4.856 Å, c = 11.212 Å
α = 90.00°, β = 102.01°, γ = 90.00°
Element x y z (fractional)
Se 0.967 0.750 0.432
Se 0.331 0.750 0.148
Se 0.669 0.250 0.852
Se 0.448 0.250 0.392
Se 0.033 0.250 0.568
Se 0.552 0.750 0.608
Tl 0.835 0.250 0.158
Tl 0.165 0.750 0.842
V 0.433 0.750 0.360
V 0.567 0.250 0.640

=====

(21)
Crystalline TlV2Se at its relaxed geometry, computed with PBE.

Properties
Energy above the most stable polymorph in this dataset: 41.0 meV per atom
V: 16.8 A^3/atom
Magnetic moment: 0.00 Bohr magnetons per cell
Formation energy without anion corrections: 451 meV per atom

a = 4.566 Å, b = 4.566 Å, c = 4.566 Å
α = 60.00°, β = 60.00°, γ = 60.00°
Element x y z (fractional)
V 0.750 0.750 0.750
V 0.250 0.250 0.250
Se 0.000 0.000 0.000
Tl 0.500 0.500 0.500

=====

(22)
Crystalline Tl2VSe5 at its relaxed geometry, computed with PBE.

Properties
V: 35.8 A^3/atom
Magnetic moment: 0.67 Bohr magnetons per cell
Formation energy without anion corrections: -358 meV per atom

a = 5.236 Å, b = 8.338 Å, c = 8.612 Å
α = 126.27°, β = 104.67°, γ = 91.03°
Element x y z (fractional)
V 0.946 0.942 0.929
Se 0.306 0.247 0.135
Se 0.241 0.735 0.973
Se 0.738 0.813 0.068
Se 0.727 0.235 0.046
Se 0.786 0.763 0.585
Tl 0.858 0.345 0.491
Tl 0.175 0.697 0.327

=====

(23)
Crystalline Tl2VSe at its relaxed geometry, computed with PBE.

Properties
Energy above the most stable polymorph in this dataset: 188.1 meV per atom
V: 25.3 A^3/atom
Magnetic moment: 4.16 Bohr magnetons per cell
Formation energy without anion corrections: 538 meV per atom

a = 5.232 Å, b = 5.232 Å, c = 5.232 Å
α = 60.00°, β = 60.00°, γ = 60.00°
Element x y z (fractional)
V 0.000 0.000 0.000
Tl 0.250 0.250 0.250
Tl 0.750 0.750 0.750
Se 0.500 0.500 0.500